{"formula": "AlRhSe2", "functional": "PBE-GGA", "state": "relaxed", "raw_formation_energy_mev_per_atom": -352, "rho_g_cm3": 6.62, "dos_at_fermi_per_ev_atom": 0.48, "lattice_angstrom": [[3.729, 0.000, 0.000], [0.000, 3.717, 0.000], [-0.021, 0.000, 5.211]], "species": ["Al", "Rh", "Se", "Se"], "fractional_positions": [[0.000, 0.000, 0.000], [0.500, 0.500, 0.500], [0.000, 0.000, 0.500], [0.500, 0.500, 0.000]]}